1.
! PBE SrBeTe, relaxed; values from VASP
&SYSTEM
  ibrav = 0, nat = 6, ntyp = 3
/
ATOMIC_SPECIES
Sr 87.62 Sr.upf
Te 127.60 Te.upf
Be 9.01 Be.upf
ATOMIC_POSITIONS angstrom
Sr -3.3672 -3.0167 0.7757
Sr -3.4864 0.1789 4.6836
Te -2.8903 0.3073 1.3327
Te -3.9633 -3.1451 4.1265
Be -6.2131 -2.3277 4.8599
Be -0.6404 -0.5101 0.5994
CELL_PARAMETERS angstrom
-2.7710 2.9856 -0.4094
-2.9281 -5.6374 -0.8382
-1.1544 -0.1860 6.7069
! Offset from the most stable computed form (meV per atom): 0.0
! VASP energy (eV per atom): -3.47
! E_form (uncorrected) (eV per atom): -0.623

---

2.
! PBE SrBe2Te, relaxed; values from VASP
&SYSTEM
  ibrav = 0, nat = 4, ntyp = 3
/
ATOMIC_SPECIES
Sr 87.62 Sr.upf
Te 127.60 Te.upf
Be 9.01 Be.upf
ATOMIC_POSITIONS angstrom
Sr -0.4560 -1.9753 2.3624
Te -2.5314 -1.8112 -0.0484
Be 0.0000 0.0000 0.0000
Be -0.6143 -4.2468 0.2397
CELL_PARAMETERS angstrom
-2.6898 -4.0827 -2.1711
1.4612 -4.4109 2.6505
-1.7588 4.7072 1.8347
! VASP energy (eV per atom): -2.58
! E_form (uncorrected) (eV per atom): 0.490

---

3.
! PBE SrBeTe, relaxed; values from VASP
&SYSTEM
  ibrav = 0, nat = 12, ntyp = 3
/
ATOMIC_SPECIES
Sr 87.62 Sr.upf
Te 127.60 Te.upf
Be 9.01 Be.upf
ATOMIC_POSITIONS angstrom
Sr 2.8782 0.0000 6.1387
Sr 4.7220 2.2199 0.4916
Sr 1.0373 0.0000 2.1754
Sr -0.8065 2.2199 7.8225
Te 1.1490 0.0000 9.3420
Te 2.9928 2.2199 3.6949
Te -0.5506 0.0000 5.2816
Te -2.3943 2.2199 10.9287
Be 5.2292 1.1137 3.2291
Be 5.2292 3.3261 3.2291
Be 3.3854 3.3335 8.8762
Be 3.3854 1.1062 8.8762
CELL_PARAMETERS angstrom
6.7867 0.0000 0.0000
0.0000 4.4397 0.0000
-3.6876 0.0000 11.2942
! Offset from the most stable computed form (meV per atom): 37.4
! VASP energy (eV per atom): -3.44
! E_form (uncorrected) (eV per atom): -0.586